1.
Here is a crystal of RbAg3Ru relaxed with PBEsol from Alexandria. Energies are from SCAN.

Unit cell a=5.221 b=5.221 c=5.221 alpha=90.00 beta=90.00 gamma=90.00
Last column: magnetic moment on the atom in μB.
Fractional positions:
Ag (0.000, 0.000, 0.500)  -0.07
Rb (0.000, 0.000, 0.000)  -0.04
Ag (0.500, 0.000, 0.000)  -0.07
Ag (0.000, 0.500, 0.000)  -0.07
Ru (0.500, 0.500, 0.500)  2.22

Computed properties:
- Space group: No. 221
- ΔE_f: 2.198 eV/atom
- Crystal system: cubic

---

2.
Here is a crystal of ZrSi2As relaxed with PBEsol from Alexandria. Energies are from SCAN.

Unit cell a=3.296 b=3.296 c=7.714 alpha=77.66 beta=77.66 gamma=60.00
Fractional positions:
As (0.000, 0.000, 0.000)
Si (0.741, 0.741, 0.776)
Si (0.259, 0.259, 0.224)
Zr (0.500, 0.500, 0.500)

Computed properties:
- Space group: No. 166
- Crystal system: trigonal
- Distance to the lowest polymorph of the same formula: 224 meV/atom